(1)
Entry from OQMD: crystalline MgSn2HgAs4 at its relaxed geometry (PBE).

- Total DFT energy (no corrections): -3.722 eV/atom

Geometry as CIF:
```
data_MgSn2HgAs4
_chemical_formula_sum 'Mg2 Sn4 Hg2 As8'
_cell_length_a 6.172
_cell_length_b 6.172
_cell_length_c 12.156
_cell_angle_alpha 90.00
_cell_angle_beta 90.00
_cell_angle_gamma 90.00
_symmetry_space_group_name_H-M 'I -4'
_symmetry_Int_Tables_number 82
loop_
_symmetry_equiv_pos_as_xyz
'x,y,z'
'y,-x,-z'
'-x,-y,z'
'-y,x,-z'
'x+1/2,y+1/2,z+1/2'
'y+1/2,-x+1/2,-z+1/2'
'-x+1/2,-y+1/2,z+1/2'
'-y+1/2,x+1/2,-z+1/2'
loop_
_atom_site_label
_atom_site_type_symbol
_atom_site_fract_x
_atom_site_fract_y
_atom_site_fract_z
Mg1 Mg 0.000 0.000 0.000
Sn1 Sn 0.000 0.000 0.500
Sn2 Sn 0.000 0.500 0.750
Hg1 Hg 0.000 0.500 0.250
As1 As 0.246 0.750 0.877
```

(2)
Entry from OQMD: crystalline ZrInGaS3 at its relaxed geometry (PBE).

- Total DFT energy (no corrections): -5.114 eV/atom

Geometry as CIF:
```
data_ZrInGaS3
_chemical_formula_sum 'Zr4 In4 Ga4 S12'
_cell_length_a 3.523
_cell_length_b 15.537
_cell_length_c 10.017
_cell_angle_alpha 90.00
_cell_angle_beta 90.00
_cell_angle_gamma 90.00
_symmetry_space_group_name_H-M 'C m c m'
_symmetry_Int_Tables_number 63
_symmetry_space_group_name_Hall '-C 2c 2'
loop_
_atom_site_label
_atom_site_type_symbol
_atom_site_fract_x
_atom_site_fract_y
_atom_site_fract_z
Zr1 Zr 0.000 0.000 0.000
In1 In 0.000 0.260 0.250
Ga1 Ga 0.000 0.452 0.750
S1 S 0.000 0.056 0.750
S2 S 0.000 0.376 0.555
```

(3)
Entry from OQMD: crystalline Hf3NbC4 at its relaxed geometry (PBE).

- Total DFT energy (no corrections): -10.450 eV/atom

Geometry as CIF:
```
data_Hf3NbC4
_chemical_formula_sum 'Hf6 Nb2 C8'
_cell_length_a 6.512
_cell_length_b 9.198
_cell_length_c 3.257
_cell_angle_alpha 90.00
_cell_angle_beta 90.00
_cell_angle_gamma 90.00
_symmetry_space_group_name_H-M 'C m m m'
_symmetry_Int_Tables_number 65
_symmetry_space_group_name_Hall '-C 2 2'
loop_
_atom_site_label
_atom_site_type_symbol
_atom_site_fract_x
_atom_site_fract_y
_atom_site_fract_z
Hf1 Hf 0.000 0.000 0.000
Hf2 Hf 0.250 0.250 0.500
Nb1 Nb 0.000 0.500 0.000
C1 C 0.000 0.253 0.000
C2 C 0.246 0.500 0.500
```